Here is a relaxed structure of Rb2ZrWO6 from Alexandria via LeMat-Bulk. Energies are from PBE+U.

Cell: 6.8923 6.8923 6.8923 Å, 132.40 132.40 69.59°
Element x y z (fractional)
Rb: 0.0000 0.5000 0.5000
Rb: 0.5000 0.0000 0.5000
Zr: 0.2479 0.2479 0.0000
W: 0.7411 0.7411 0.0000
O: 0.4139 0.4139 0.0000
O: 0.4624 0.4624 0.5244
O: 0.4624 0.9380 0.0000
O: 0.8998 0.8998 0.0000
O: 0.9380 0.4624 0.0000
O: 0.9380 0.9380 0.4756

Summary:
Fermi-level density of states: 0.00 states/eV/f.u.
E_tot: -7.098 eV per atom